A plane-wave DFT calculation with SCAN was carried out for a PBEsol-optimized structure of ScZn3.

Geometry as extended XYZ:
```
8
Lattice="-2.101 2.101 7.128 2.101 -2.101 7.128 2.101 2.101 -7.128" Properties=species:S:1:pos:R:3 pbc="T T T"
Sc 0.000 0.000 1.860
Sc 0.000 0.000 12.396
Zn 2.101 0.000 0.000
Zn 2.101 0.000 3.564
Zn 0.000 0.000 5.256
Zn 0.000 2.101 0.000
Zn 0.000 0.000 9.000
Zn 0.000 2.101 3.564
```

Calculated values
size of the total moment	0.000	μB per cell
energy of formation from the pure elements	-1.24	eV per formula unit
E	-14.006	eV/atom
symmetry	I4/mmm